1.
VASP calculation (PBE with a Hubbard U) on an optimized crystal structure of MgMnFeO2.

**Magnetization**: 9.51 μB/f.u.
**V**: 81 Å³/cell
**DFT total energy**: -4.893 eV/atom

The structure in POSCAR format:
```
MgMnFeO2
1.0
3.885 0.000 0.000
0.000 3.885 0.000
0.000 0.000 5.341
Mg Mn Fe O
1 1 1 2
Direct
0.000 0.000 0.000 Mg
0.000 0.000 0.500 Mn
0.500 0.500 0.500 Fe
0.000 0.500 0.000 O
0.500 0.000 0.000 O
```

2.
VASP calculation (PBE with a Hubbard U) on an optimized crystal structure of Mg14MnFeO16.

**Magnetization**: 9.00 μB/f.u.
**V**: 314 Å³/cell
**DFT total energy**: -6.106 eV/atom

The structure in POSCAR format:
```
Mg14MnFeO16
1.0
8.567 0.000 0.000
0.000 8.567 0.000
0.000 0.000 4.278
Mg Mn Fe O
14 1 1 16
Direct
0.000 0.250 0.000 Mg
0.000 0.500 0.500 Mg
0.000 0.750 0.000 Mg
0.248 0.500 0.000 Mg
0.250 0.000 0.000 Mg
0.250 0.250 0.500 Mg
0.250 0.750 0.500 Mg
0.500 0.000 0.500 Mg
0.500 0.248 0.000 Mg
0.500 0.752 0.000 Mg
0.750 0.000 0.000 Mg
0.750 0.250 0.500 Mg
0.750 0.750 0.500 Mg
0.752 0.500 0.000 Mg
0.500 0.500 0.500 Mn
0.000 0.000 0.500 Fe
0.000 0.000 0.000 O
0.000 0.253 0.500 O
0.000 0.500 0.000 O
0.000 0.747 0.500 O
0.243 0.500 0.500 O
0.250 0.250 0.000 O
0.250 0.750 0.000 O
0.253 0.000 0.500 O
0.500 0.000 0.000 O
0.500 0.243 0.500 O
0.500 0.500 0.000 O
0.500 0.757 0.500 O
0.747 0.000 0.500 O
0.750 0.250 0.000 O
0.750 0.750 0.000 O
0.757 0.500 0.500 O
```

3.
VASP calculation (PBE with a Hubbard U) on an optimized crystal structure of MgMnFe2O4.

**Magnetization**: 13.00 μB/f.u.
**V**: 170 Å³/cell
**DFT total energy**: -6.775 eV/atom

The structure in POSCAR format:
```
MgMnFe2O4
1.0
6.194 0.000 0.000
-0.054 6.205 0.000
-3.053 -3.118 4.414
Mg Mn Fe O
2 2 4 8
Direct
0.000 0.000 0.000 Mg
0.500 0.000 0.000 Mg
0.000 0.000 0.500 Mn
0.000 0.500 0.500 Mn
0.000 0.500 0.000 Fe
0.500 0.000 0.500 Fe
0.500 0.500 0.000 Fe
0.500 0.500 0.500 Fe
0.239 0.242 0.484 O
0.249 0.742 0.999 O
0.258 0.244 0.015 O
0.265 0.766 0.515 O
0.735 0.234 0.485 O
0.742 0.756 0.985 O
0.751 0.258 0.001 O
0.761 0.758 0.516 O
```

Repeat the second record exactly.
VASP calculation (PBE with a Hubbard U) on an optimized crystal structure of Mg14MnFeO16.

**Magnetization**: 9.00 μB/f.u.
**V**: 314 Å³/cell
**DFT total energy**: -6.106 eV/atom

The structure in POSCAR format:
```
Mg14MnFeO16
1.0
8.567 0.000 0.000
0.000 8.567 0.000
0.000 0.000 4.278
Mg Mn Fe O
14 1 1 16
Direct
0.000 0.250 0.000 Mg
0.000 0.500 0.500 Mg
0.000 0.750 0.000 Mg
0.248 0.500 0.000 Mg
0.250 0.000 0.000 Mg
0.250 0.250 0.500 Mg
0.250 0.750 0.500 Mg
0.500 0.000 0.500 Mg
0.500 0.248 0.000 Mg
0.500 0.752 0.000 Mg
0.750 0.000 0.000 Mg
0.750 0.250 0.500 Mg
0.750 0.750 0.500 Mg
0.752 0.500 0.000 Mg
0.500 0.500 0.500 Mn
0.000 0.000 0.500 Fe
0.000 0.000 0.000 O
0.000 0.253 0.500 O
0.000 0.500 0.000 O
0.000 0.747 0.500 O
0.243 0.500 0.500 O
0.250 0.250 0.000 O
0.250 0.750 0.000 O
0.253 0.000 0.500 O
0.500 0.000 0.000 O
0.500 0.243 0.500 O
0.500 0.500 0.000 O
0.500 0.757 0.500 O
0.747 0.000 0.500 O
0.750 0.250 0.000 O
0.750 0.750 0.000 O
0.757 0.500 0.500 O
```